Computed, not measured: SnTe2IO at its PBEsol-relaxed geometry at the meta-GGA SCAN level of DFT.

Results
magnetic moment	1.5	μB per formula unit
volume	196.8	Å³ per cell
space-group type	P4/mmm, No. 123
formation energy from raw total energies	1240	meV/atom
uncorrected energy	-29.44	eV/atom

Unit cell a=5.7787 b=5.7787 c=5.8941 alpha=90.00 beta=90.00 gamma=90.00
Fractional positions:
Sn: 0.0000 0.0000 0.0000
Te: 0.0000 0.5000 0.5000
Te: 0.5000 0.0000 0.5000
I: 0.0000 0.0000 0.5000
O: 0.5000 0.5000 0.0000